A plane-wave DFT calculation with PBE was carried out for a relaxed structure of Ba2H4Rh.

a b c (Å): 5.609 5.609 8.036
angles (deg): 90.00 90.00 90.00
Positions (direct):
Ba1 0.000 0.500 0.250
Ba2 0.000 0.500 0.750
Ba3 0.500 0.000 0.250
Ba4 0.500 0.000 0.750
H1 0.215 0.215 0.000
H2 0.215 0.785 0.000
H3 0.285 0.285 0.500
H4 0.285 0.715 0.500
H5 0.715 0.285 0.500
H6 0.715 0.715 0.500
H7 0.785 0.215 0.000
H8 0.785 0.785 0.000
Rh1 0.000 0.000 0.000
Rh2 0.500 0.500 0.500

E above lowest polymorph: 0 kJ/mol of formula units
total magnetization: 0.000 μB/atom
E_tot: -56.6 eV/cell